(1)
Here is La2SiO5 after structural relaxation from Alexandria via LeMat-Bulk. Energies are from PBE.

a b c (Å): 9.357 7.727 7.010
angles (deg): 90.00 109.07 90.00
Space group P2_1/c (No. 14)
Symmetry-distinct sites (fractional):
La1 0.009 0.127 0.231 (multiplicity 4)
La2 0.389 0.160 0.095 (multiplicity 4)
Si1 0.300 0.572 0.042 (multiplicity 4)
O1 0.110 0.127 0.950 (multiplicity 4)
O2 0.122 0.631 0.996 (multiplicity 4)
O3 0.288 0.077 0.366 (multiplicity 4)
O4 0.369 0.038 0.756 (multiplicity 4)
O5 0.413 0.733 0.049 (multiplicity 4)

Output
Total magnetic moment ... 0.00 μB per formula unit
Formation energy (no corrections) ... -3.34 eV/atom
Energy above the most stable polymorph in this dataset ... 0.00 eV/f.u.

---

(2)
Here is LaSiO2 after structural relaxation from Alexandria via LeMat-Bulk. Energies are from PBE.

a b c (Å): 4.779 4.779 12.685
angles (deg): 90.00 90.00 90.00
Space group I-42d (No. 122)
Symmetry-distinct sites (fractional):
La1 0.000 0.000 0.000 (multiplicity 4)
Si1 0.000 0.000 0.500 (multiplicity 4)
O1 0.233 0.250 0.625 (multiplicity 8)

Output
Total magnetic moment ... 0.00 μB per formula unit
Formation energy (no corrections) ... -1.56 eV/atom

---

(3)
Here is LaSi2O2 after structural relaxation from Alexandria via LeMat-Bulk. Energies are from PBE.

a b c (Å): 7.232 7.232 3.454
angles (deg): 90.00 90.00 90.00
Space group P4/mbm (No. 127)
Symmetry-distinct sites (fractional):
La1 0.000 0.000 0.000 (multiplicity 2)
Si1 0.112 0.388 0.000 (multiplicity 4)
O1 0.174 0.326 0.500 (multiplicity 4)

Output
Total magnetic moment ... 0.00 μB per formula unit
Formation energy (no corrections) ... -0.82 eV/atom
Energy above the most stable polymorph in this dataset ... 0.00 eV/f.u.

---

(4)
Here is LaSi3O after structural relaxation from Alexandria via LeMat-Bulk. Energies are from PBE.

a b c (Å): 5.628 5.628 5.628
angles (deg): 90.00 90.00 90.00
Space group Pm-3m (No. 221)
Symmetry-distinct sites (fractional):
La1 0.000 0.000 0.000 (multiplicity 1)
Si1 0.000 0.000 0.500 (multiplicity 3)
O1 0.500 0.500 0.500 (multiplicity 1)

Output
Total magnetic moment ... 2.26 μB per formula unit
Formation energy (no corrections) ... 1.81 eV/atom
Energy above the most stable polymorph in this dataset ... 10.66 eV/f.u.

---

(5)
Here is LaSiO2 after structural relaxation from Alexandria via LeMat-Bulk. Energies are from PBE.

a b c (Å): 2.9155 2.9155 22.0867
angles (deg): 90.00 90.00 120.00
Space group R-3m (No. 166, hexagonal axes)
Symmetry-distinct sites (fractional):
La1 0.0000 0.0000 0.0000 (multiplicity 3)
Si1 0.0000 0.0000 0.5000 (multiplicity 3)
O1 0.0000 0.0000 0.1270 (multiplicity 6)

Output
Total magnetic moment ... 0.00 μB per formula unit
Formation energy (no corrections) ... -1.37 eV/atom

---

(6)
Here is La2SiO5 after structural relaxation from Alexandria via LeMat-Bulk. Energies are from PBE.

a b c (Å): 5.587 5.587 7.418
angles (deg): 90.00 90.00 90.00
Space group I4mm (No. 107)
Symmetry-distinct sites (fractional):
La1 0.000 0.500 0.000 (multiplicity 4)
Si1 0.000 0.000 0.259 (multiplicity 2)
O1 0.000 0.000 0.039 (multiplicity 2)
O2 0.216 0.216 0.316 (multiplicity 8)

Output
Total magnetic moment ... 0.00 μB per formula unit
Formation energy (no corrections) ... -3.05 eV/atom
Energy above the most stable polymorph in this dataset ... 2.37 eV/f.u.

---

(7)
Here is La2Sm4Si3O2 after structural relaxation from Alexandria via LeMat-Bulk. Energies are from PBE.

a b c (Å): 4.685 4.685 24.533
angles (deg): 90.00 90.00 90.00
Space group I4/mmm (No. 139)
Symmetry-distinct sites (fractional):
La1 0.000 0.000 0.197 (multiplicity 4)
Sm1 0.000 0.500 0.078 (multiplicity 8)
Si1 0.000 0.000 0.329 (multiplicity 4)
Si2 0.000 0.000 0.500 (multiplicity 2)
O1 0.000 0.000 0.098 (multiplicity 4)

Output
Total magnetic moment ... 0.00 μB per formula unit
Formation energy (no corrections) ... -1.44 eV/atom

---

(8)
Here is La4SiSnO after structural relaxation from Alexandria via LeMat-Bulk. Energies are from PBE.

a b c (Å): 6.775 17.319 6.807
angles (deg): 90.00 90.00 90.00
Space group Cmcm (No. 63)
Symmetry-distinct sites (fractional):
La1 0.000 0.061 0.250 (multiplicity 4)
La2 0.000 0.422 0.250 (multiplicity 4)
La3 0.250 0.250 0.000 (multiplicity 8)
Si1 0.000 0.118 0.750 (multiplicity 4)
Sn1 0.000 0.390 0.750 (multiplicity 4)
O1 0.000 0.267 0.250 (multiplicity 4)

Output
Total magnetic moment ... 1.05 μB per formula unit
Formation energy (no corrections) ... -1.24 eV/atom

---

Which value of total magnetic moment does entry 2 give?
0.00 μB per formula unit

---

Number 7 is which compound?
La2Sm4Si3O2